[1]
# BaHfMgPd, relaxed, DFT PBE
data_BaHfMgPd
_chemical_formula_sum 'Ba4 Hf4 Mg4 Pd4'
_space_group_name_H-M_alt 'F -4 3 m'
_space_group_IT_number 216
_space_group_name_Hall 'F -4 2 3'
_cell_length_a 7.153
_cell_length_b 7.153
_cell_length_c 7.153
_cell_angle_alpha 90.00
_cell_angle_beta 90.00
_cell_angle_gamma 90.00
loop_
_atom_site_label
_atom_site_fract_x
_atom_site_fract_y
_atom_site_fract_z
Ba1 0.000 0.000 0.000
Hf1 0.250 0.250 0.750
Mg1 0.250 0.250 0.250
Pd1 0.000 0.000 0.500
# offset from the most stable computed form	0.00	eV per formula unit
# density	8.11	g/cm³

=====

[2]
# BaHfMgPd, relaxed, DFT PBE
data_BaHfMgPd
_chemical_formula_sum 'Ba4 Hf4 Mg4 Pd4'
_space_group_name_H-M_alt 'F -4 3 m'
_space_group_IT_number 216
_space_group_name_Hall 'F -4 2 3'
_cell_length_a 7.433
_cell_length_b 7.433
_cell_length_c 7.433
_cell_angle_alpha 90.00
_cell_angle_beta 90.00
_cell_angle_gamma 90.00
loop_
_atom_site_label
_atom_site_fract_x
_atom_site_fract_y
_atom_site_fract_z
Ba1 0.000 0.000 0.000
Hf1 0.000 0.000 0.500
Mg1 0.250 0.250 0.750
Pd1 0.250 0.250 0.250
# offset from the most stable computed form	0.08	eV per formula unit
# density	7.22	g/cm³

=====

[3]
# BaHfMgPd, relaxed, DFT PBE
data_BaHfMgPd
_chemical_formula_sum 'Ba4 Hf4 Mg4 Pd4'
_space_group_name_H-M_alt 'F -4 3 m'
_space_group_IT_number 216
_space_group_name_Hall 'F -4 2 3'
_cell_length_a 7.257
_cell_length_b 7.257
_cell_length_c 7.257
_cell_angle_alpha 90.00
_cell_angle_beta 90.00
_cell_angle_gamma 90.00
loop_
_atom_site_label
_atom_site_fract_x
_atom_site_fract_y
_atom_site_fract_z
Ba1 0.000 0.000 0.000
Hf1 0.250 0.250 0.250
Mg1 0.000 0.000 0.500
Pd1 0.250 0.250 0.750
# offset from the most stable computed form	0.60	eV per formula unit
# density	7.76	g/cm³

=====

[4]
# BaHfMgPt, relaxed, DFT PBE
data_BaHfMgPt
_chemical_formula_sum 'Ba4 Hf4 Mg4 Pt4'
_space_group_name_H-M_alt 'F -4 3 m'
_space_group_IT_number 216
_space_group_name_Hall 'F -4 2 3'
_cell_length_a 7.088
_cell_length_b 7.088
_cell_length_c 7.088
_cell_angle_alpha 90.00
_cell_angle_beta 90.00
_cell_angle_gamma 90.00
loop_
_atom_site_label
_atom_site_fract_x
_atom_site_fract_y
_atom_site_fract_z
Ba1 0.000 0.000 0.000
Hf1 0.250 0.250 0.750
Mg1 0.250 0.250 0.250
Pt1 0.000 0.000 0.500
# offset from the most stable computed form	0.00	eV per formula unit
# density	9.98	g/cm³

=====

Looking at total magnetic moment for the records above, in order, we have 0.00; 0.00; 0.00; 0.00 μB per formula unit.